Entry 1:
AlOs4Se (PBE, optimized geometry); uncorrected formation energy = 940 meV/atom; calculated volume = 98.8 Å³ per cell
1.0
0.000 3.669 3.669
3.669 0.000 3.669
3.669 3.669 0.000
Os Se Al
4 1 1
direct
0.375 0.375 0.375
0.375 0.375 0.875
0.375 0.875 0.375
0.875 0.375 0.375
0.750 0.750 0.750
0.000 0.000 0.000



Entry 2:
BTePS2 (PBE, optimized geometry); offset from the most stable computed form = 0 meV/atom; uncorrected formation energy = 699 meV/atom; calculated volume = 78.4 Å³ per cell
1.0
4.286 0.000 0.000
0.000 4.286 0.000
0.000 0.000 4.270
Te B S P
1 1 2 1
direct
0.500 0.500 0.500
0.000 0.000 0.000
0.500 0.000 0.000
0.000 0.500 0.000
0.000 0.000 0.500



Entry 3:
Pm3Si7Os2 (PBE, optimized geometry); uncorrected formation energy = -591 meV/atom; calculated volume = 227.2 Å³ per cell
1.0
4.259 0.000 0.000
0.000 4.215 0.003
0.000 -2.090 12.655
Os Si Pm
2 7 3
direct
0.500 0.629 0.256
0.500 0.371 0.744
0.000 0.410 0.827
0.500 0.278 0.556
0.000 0.590 0.173
0.000 0.000 0.000
0.500 0.912 0.828
0.500 0.088 0.172
0.500 0.722 0.444
0.000 0.815 0.631
0.000 0.185 0.369
0.500 0.500 0.000



Entry 4:
Sr3ZrBe (PBE, optimized geometry); offset from the most stable computed form = 502 meV/atom; ΔH_f (0 K) = 1.3116 eV/atom; calculated volume = 217.8 Å³ per cell
1.0
-3.030 -2.496 -4.560
4.760 0.789 -3.595
2.090 -5.418 1.577
Zr Be Sr
1 1 3
direct
0.000 0.000 0.000
0.500 0.500 0.500
0.000 0.000 0.500
0.500 0.000 0.000
0.000 0.500 0.000



Entry 5:
TiP2Au (PBE, optimized geometry); offset from the most stable computed form = 118 meV/atom; ΔH_f (0 K) = -0.0074 eV/atom; calculated volume = 63.0 Å³ per cell
1.0
0.000 3.158 3.158
3.158 0.000 3.158
3.158 3.158 0.000
Au P Ti
1 2 1
direct
0.500 0.500 0.500
0.250 0.250 0.250
0.750 0.750 0.750
0.000 0.000 0.000



Entry 6:
Ac2Si3Pd4Au (PBE, optimized geometry); uncorrected formation energy = -783 meV/atom; calculated volume = 202.2 Å³ per cell
1.0
-0.079 -0.109 4.415
-2.266 -3.789 -0.134
8.896 -5.322 0.028
Pd Si Ac Au
4 3 2 1
direct
0.000 0.500 0.349
0.500 0.500 0.000
0.500 0.000 0.651
0.000 0.000 0.000
0.000 0.500 0.116
0.500 0.000 0.884
0.000 0.000 0.500
0.500 0.000 0.255
0.000 0.500 0.745
0.500 0.500 0.500



Entry 7:
Zr3Co8Ni (PBE, optimized geometry); ΔH_f (0 K) = -0.2421 eV/atom; calculated volume = 159.9 Å³ per cell
1.0
-4.386 0.842 -1.854
-2.888 -3.702 -1.156
-5.481 -0.843 6.278
Zr Co Ni
3 8 1
direct
0.011 0.011 0.968
0.623 0.623 0.131
0.493 0.493 0.522
0.312 0.312 0.065
0.559 0.061 0.319
0.061 0.564 0.812
0.811 0.811 0.566
0.061 0.061 0.319
0.564 0.564 0.812
0.564 0.061 0.812
0.061 0.559 0.319
0.131 0.131 0.607



Entry 8:
Dy4SiPSe2 (PBE, optimized geometry); uncorrected formation energy = -1560 meV/atom; calculated volume = 192.6 Å³ per cell
1.0
4.071 0.000 0.000
0.000 7.106 -0.164
0.000 2.479 6.601
Se Dy Si P
2 4 1 1
direct
0.500 0.000 0.500
0.000 0.000 0.000
0.500 0.734 0.255
0.000 0.731 0.756
0.000 0.269 0.244
0.500 0.266 0.745
0.000 0.500 0.500
0.500 0.500 0.000



Entry 9:
LiRu2Pt2 (PBE, optimized geometry); offset from the most stable computed form = 160 meV/atom; ΔH_f (0 K) = 0.2165 eV/atom; calculated volume = 82.6 Å³ per cell
1.0
-3.732 5.441 1.920
-4.279 4.438 -3.036
2.045 -6.470 1.084
Pt Ru Li
2 2 1
direct
0.402 0.402 0.000
0.598 0.598 0.000
0.250 0.750 0.500
0.750 0.250 0.500
0.000 0.000 0.000



Entry 10:
KSi2Ag (PBE, optimized geometry); offset from the most stable computed form = 490 meV/atom; uncorrected formation energy = 648 meV/atom; calculated volume = 83.4 Å³ per cell
1.0
-2.462 -2.905 1.764
2.799 -2.980 -1.000
2.183 0.662 4.136
Ag K Si
1 1 2
direct
0.500 0.000 0.500
0.000 0.500 0.500
0.000 0.000 0.000
0.500 0.500 0.000



Entry 11:
CrGeTeRu (PBE, optimized geometry); offset from the most stable computed form = 91 meV/atom; uncorrected formation energy = 95 meV/atom; calculated volume = 143.8 Å³ per cell
1.0
-0.199 -0.953 3.666
1.964 -2.341 -0.502
9.641 8.351 -1.236
Ge Te Cr Ru
2 2 2 2
direct
0.499 0.000 0.883
0.499 0.500 0.383
0.753 0.500 0.137
0.753 0.000 0.637
0.141 0.500 0.524
0.141 0.000 0.024
0.937 0.500 0.821
0.937 0.000 0.321



Entry 12:
RbCaC2 (PBE, optimized geometry); offset from the most stable computed form = 0 meV/atom; ΔH_f (0 K) = 1.8921 eV/atom; calculated volume = 177.0 Å³ per cell
1.0
-3.153 0.401 -3.265
0.681 -4.345 -1.191
-7.255 -4.426 3.283
C Ca Rb
4 2 2
direct
0.375 0.125 0.250
0.375 0.625 0.750
0.875 0.625 0.750
0.375 0.625 0.250
0.500 0.500 0.000
0.250 0.750 0.500
0.750 0.250 0.500
0.000 0.000 0.000



no.,calculated total energy (eV/f.u.),total moment (μB per atom)
1,-46.51,0.0001
2,-19.99,0.0000
3,-81.77,0.0000
4,-10.76,0.0868
5,-22.02,0.0000
6,-56.37,0.0000
7,-91.18,0.6137
8,-48.69,0.0000
9,-31.46,0.0000
10,-12.20,0.0000
11,-26.28,0.7997
12,-13.85,0.0000